Dy4Tm9Al11 | PBE | optimized geometry

abc: 15.1897 22.2760 3.3141
angles: 90.00 90.00 90.00
Space group Cmmm (No. 65)
Unique sites:
Dy1 0.1777 0.0823 0.0000
Tm1 0.0000 0.0000 0.0000
Tm2 0.1067 0.4025 0.0000
Tm3 0.1116 0.2232 0.0000
Al1 0.0000 0.1207 0.5000
Al2 0.0000 0.3109 0.5000
Al3 0.0000 0.5000 0.5000
Al4 0.1955 0.5000 0.5000
Al5 0.2242 0.3128 0.5000

Energy of formation   -0.325 eV/atom
VASP energy   -215.24 eV for the cell shown